[1]
This record from Alexandria describes a relaxed structure of CuReTe. The functional is PBEsol.

The structure in POSCAR format:
```
CuReTe
1.0
4.2567 0.0000 0.0000
2.1283 3.6864 0.0000
2.1283 1.2288 3.4756
Cu Re Te
1 1 1
Cartesian
0.0000 0.0000 0.0000 Cu
4.2567 2.4576 1.7378 Re
2.1283 1.2288 0.8689 Te
```

Properties
Space group ... F-43m (216)
Size of the total moment ... 0.00 μB per formula unit
Formation energy without anion corrections ... 89.1 kJ/mol of atoms
Relative energy among the computed polymorphs ... 0 meV/atom
Calculated total energy ... -6.141 eV/atom



[2]
This record from Alexandria describes a relaxed structure of As2WAu. The functional is PBEsol.

The structure in POSCAR format:
```
As2WAu
1.0
3.3177 0.0000 0.0000
0.0000 4.4022 0.0000
0.0000 0.0000 4.4022
W As Au
1 2 1
Cartesian
1.6589 0.0000 0.0000 W
0.0000 2.2011 0.0000 As
0.0000 0.0000 2.2011 As
1.6589 2.2011 2.2011 Au
```

Properties
Space group ... P4/mmm (123)
Size of the total moment ... 0.00 μB per formula unit
Formation enthalpy at 0 K ... 0.409 eV/atom
Relative energy among the computed polymorphs ... 105 meV/atom
Calculated total energy ... -6.577 eV/atom



[3]
This record from Alexandria describes a relaxed structure of Sr2NdGaCu2O7. The functional is PBEsol.

The structure in POSCAR format:
```
Sr2NdGaCu2O7
1.0
-1.4904 -1.4725 4.9598
3.1952 -4.4610 -0.3643
7.9301 8.8979 2.1022
Cu O Nd Sr Ga
4 14 2 4 2
Cartesian
6.7102 4.3064 6.1967 Cu
9.0589 2.8039 3.5340 Cu
0.5865 0.1708 3.1288 Cu
2.9351 -1.3316 0.4661 Cu
0.8345 -1.4274 4.1984 O
1.5915 -0.7077 1.7172 O
5.1262 2.9412 5.1627 O
3.2245 -2.9019 1.5463 O
2.4787 -3.6371 4.0263 O
2.5454 1.1983 3.8698 O
6.4224 5.8766 5.1134 O
4.5971 0.1105 1.2409 O
4.1834 3.6618 1.6762 O
7.1669 6.6138 2.6336 O
8.7948 4.4144 2.4800 O
5.7921 -0.3608 3.8877 O
7.1779 1.8534 2.5339 O
8.0614 3.6617 4.9585 O
-1.4860 -1.4682 4.9454 Nd
0.8567 -2.9625 2.2834 Nd
2.7239 1.7279 1.3282 Sr
6.1683 4.0541 3.0538 Sr
6.9127 1.2382 5.3638 Sr
3.4683 -1.0880 3.6382 Sr
3.3703 2.4879 4.8817 Ga
6.1585 0.3718 2.1688 Ga
```

Properties
Space group ... Ima2 (46)
Size of the total moment ... 0.00 μB per formula unit
Formation energy without anion corrections ... -205.6 kJ/mol of atoms
Calculated total energy ... -6.562 eV/atom



[4]
This record from Alexandria describes a relaxed structure of BeTl2Ag. The functional is PBEsol.

The structure in POSCAR format:
```
BeTl2Ag
1.0
-3.2017 -0.4022 0.6322
-1.0524 -2.7434 1.4758
-0.3950 2.5920 8.2000
Be Ag Tl
1 1 2
Cartesian
0.0000 0.0000 0.0000 Be
-2.3245 -0.2768 5.1540 Ag
-3.4644 -0.3356 7.8950 Tl
-1.1847 -0.2181 2.4129 Tl
```

Properties
Space group ... R-3m (166)
Size of the total moment ... 0.00 μB per formula unit
Formation enthalpy at 0 K ... 0.428 eV/atom
Calculated total energy ... -2.715 eV/atom



[5]
This record from Alexandria describes a relaxed structure of Rb2H8O5. The functional is PBEsol.

The structure in POSCAR format:
```
Rb2H8O5
1.0
-3.4079 -6.8607 -1.0140
2.7179 -6.2834 3.9353
-10.7517 -0.0339 6.9204
H O Rb
32 20 8
Cartesian
-11.0167 -6.5090 7.5485 H
-9.0468 -2.4413 7.1366 H
-0.2653 -7.6585 3.1307 H
-7.6025 -7.9804 8.8687 H
-1.8603 -9.8986 3.1717 H
-8.0776 -6.7028 4.3027 H
-4.2497 -8.5192 4.3559 H
-4.5228 -10.0169 4.9862 H
-1.2566 -7.0251 1.6999 H
-9.7662 -6.0511 6.3145 H
-4.0371 -12.1280 5.2768 H
-11.7679 -8.9360 8.4178 H
-3.0714 -1.5061 2.5176 H
-9.3488 -4.7051 4.8575 H
-7.3026 -4.1717 5.0489 H
-2.5886 -6.2249 6.5599 H
-0.2471 -6.9887 4.5683 H
-5.6289 -8.9352 2.8329 H
-2.5986 -10.9008 4.3131 H
-9.9798 -3.3718 6.1474 H
-10.0493 -10.4072 7.6886 H
-2.0403 -7.1807 5.1169 H
-6.2957 -12.2417 6.8236 H
-7.3734 -5.0171 3.1023 H
-3.9342 -6.2750 3.4239 H
-8.7187 -10.9790 8.6233 H
-10.5383 -8.5329 6.8389 H
-2.6708 -7.9440 3.3480 H
-8.7574 -7.4382 5.5326 H
-8.4133 -7.3324 7.5512 H
-7.1010 -3.2817 6.4699 H
-5.0868 -5.3449 2.5421 H
-10.1280 -4.6488 5.4756 O
-1.3406 -6.8473 5.7786 O
-3.2625 -7.5104 4.0220 O
-1.1021 -6.1796 1.1474 O
-9.6764 -6.9454 6.7948 O
-7.9807 -5.1613 3.8837 O
-5.0266 -9.2023 4.6241 O
-3.3916 -5.8607 7.0892 O
-3.6225 -11.2566 5.5281 O
-9.6390 -11.1973 8.1909 O
-6.6544 -3.6308 5.6184 O
-9.9506 -2.4320 6.6555 O
-10.9964 -9.4185 6.8304 O
-1.3648 -8.5255 2.3558 O
-7.4873 -7.5770 7.9677 O
-2.3622 -2.1874 2.8696 O
-8.2142 -7.6423 4.6947 O
0.3416 -7.1012 3.7440 O
-4.2755 -5.3277 3.1637 O
-1.9538 -10.8508 3.5206 O
-8.9525 -5.0256 8.8527 Rb
-1.5815 -4.7805 3.7267 Rb
-3.7319 -7.2980 0.6439 Rb
-5.3579 -2.7172 3.2992 Rb
-7.4722 -9.8999 6.1540 Rb
-1.9012 -3.6883 0.0564 Rb
-7.7967 -0.6096 5.3739 Rb
-5.7046 -6.4171 5.5478 Rb
```

Properties
Space group ... Cc (9)
Size of the total moment ... 0.00 μB per formula unit
Calculated total energy ... -4.861 eV/atom



[6]
This record from Alexandria describes a relaxed structure of Be2SiNi. The functional is PBEsol.

The structure in POSCAR format:
```
Be2SiNi
1.0
2.5489 0.0000 0.0000
0.0000 4.0230 -0.0054
0.0000 -1.3786 3.7794
Be Ni Si
2 1 1
Cartesian
0.0000 -0.6893 1.8897 Be
0.0000 2.0115 -0.0027 Be
1.2744 0.0000 0.0000 Ni
1.2744 1.3222 1.8870 Si
```

Properties
Space group ... Cmmm (65)
Size of the total moment ... 0.00 μB per formula unit
Formation energy without anion corrections ... -16.1 kJ/mol of atoms
Calculated total energy ... -5.142 eV/atom



[7]
This record from Alexandria describes a relaxed structure of LaNb2SnTe. The functional is PBEsol.

The structure in POSCAR format:
```
LaNb2SnTe
1.0
5.0987 0.0000 0.0000
0.0000 5.0987 0.0000
0.0000 0.0000 5.6737
Nb La Sn Te
2 1 1 1
Cartesian
2.5493 0.0000 0.0000 Nb
0.0000 2.5493 0.0000 Nb
2.5493 2.5493 2.8368 La
0.0000 0.0000 0.0000 Sn
0.0000 0.0000 2.8368 Te
```

Properties
Space group ... P4/mmm (123)
Size of the total moment ... 0.01 μB per formula unit
Formation energy without anion corrections ... 99.3 kJ/mol of atoms
Calculated total energy ... -5.925 eV/atom



[8]
This record from Alexandria describes a relaxed structure of Re2PtAu. The functional is PBEsol.

The structure in POSCAR format:
```
Re2PtAu
1.0
2.6996 0.0000 0.0000
0.0000 4.9175 0.0127
0.0000 -1.9362 4.5203
Au Pt Re
1 1 2
Cartesian
1.3498 1.4906 2.2665 Au
1.3498 0.0000 0.0000 Pt
0.0000 2.4587 0.0064 Re
0.0000 -0.9681 2.2601 Re
```

Properties
Space group ... Cmmm (65)
Size of the total moment ... 0.00 μB per formula unit
Formation enthalpy at 0 K ... 0.328 eV/atom
Relative energy among the computed polymorphs ... 104 meV/atom
Calculated total energy ... -9.060 eV/atom